Density functional theory data (PBE) for a geometry-optimized La3TbY2As6 structure.

a b c (Å): 7.370 7.370 7.360
angles (deg): 99.60 99.60 120.00
Positions (direct):
La  0.000  0.000  0.000
La  0.333  0.667  0.000
La  0.667  0.333  0.000
Tb  0.500  0.500  0.500
Y  0.167  0.833  0.500
Y  0.833  0.167  0.500
As  0.087  0.421  0.262
As  0.246  0.246  0.737
As  0.421  0.087  0.262
As  0.579  0.913  0.738
As  0.754  0.754  0.263
As  0.913  0.579  0.738

Results
**ΔH_f (0 K)**: -18.7 eV/f.u.
**Crystal system**: monoclinic
**M_tot**: 0.00 μB/f.u.
**DFT total energy**: -6.57 eV/atom

---

Density functional theory data (PBE) for a geometry-optimized La3Tb2YAs6 structure.

a b c (Å): 7.373 7.373 7.366
angles (deg): 99.60 99.60 120.00
Positions (direct):
La  0.000  0.000  0.000
La  0.333  0.667  0.000
La  0.667  0.333  0.000
Tb  0.167  0.833  0.500
Tb  0.833  0.167  0.500
Y  0.500  0.500  0.500
As  0.088  0.421  0.262
As  0.246  0.246  0.738
As  0.421  0.088  0.262
As  0.579  0.912  0.738
As  0.754  0.754  0.262
As  0.912  0.579  0.738

Results
**ΔH_f (0 K)**: -18.6 eV/f.u.
**Crystal system**: monoclinic
**M_tot**: 0.00 μB/f.u.
**DFT total energy**: -6.42 eV/atom

---

Density functional theory data (PBE) for a geometry-optimized La2TbYAs4 structure.

a b c (Å): 7.361 4.258 7.370
angles (deg): 90.00 109.48 90.00
Positions (direct):
La  0.000  0.000  0.000
La  0.000  0.500  0.500
Tb  0.500  0.000  0.500
Y  0.500  0.500  0.000
As  0.262  0.500  0.254
As  0.263  0.000  0.754
As  0.737  0.000  0.246
As  0.738  0.500  0.746

Results
**ΔH_f (0 K)**: -12.4 eV/f.u.
**Crystal system**: monoclinic
**M_tot**: 0.00 μB/f.u.
**DFT total energy**: -6.50 eV/atom

---

Density functional theory data (PBE) for a geometry-optimized La2Tb3YAs6 structure.

a b c (Å): 9.427 9.427 8.436
angles (deg): 102.94 102.94 25.87
Positions (direct):
La  0.165  0.165  0.331
La  0.835  0.835  0.669
Tb  0.167  0.167  0.834
Tb  0.500  0.500  0.500
Tb  0.833  0.833  0.166
Y  0.500  0.500  0.000
As  0.003  0.003  0.752
As  0.334  0.334  0.926
As  0.336  0.336  0.410
As  0.664  0.664  0.590
As  0.666  0.666  0.074
As  0.997  0.997  0.248

Results
**ΔH_f (0 K)**: -18.5 eV/f.u.
**Crystal system**: monoclinic
**M_tot**: 0.00 μB/f.u.
**DFT total energy**: -6.38 eV/atom

---

Density functional theory data (PBE) for a geometry-optimized LaTcAs2 structure.

a b c (Å): 5.087 5.087 5.476
angles (deg): 107.03 107.03 39.41
Positions (direct):
La  0.000  0.000  0.000
Tc  0.242  0.242  0.594
As  0.530  0.530  0.519
As  0.777  0.777  0.285

Results
**Polymorph energy (0 for the lowest one)**: 356 meV per atom
**ΔH_f (0 K)**: -1.5 eV/f.u.
**Crystal system**: monoclinic
**M_tot**: 0.00 μB/f.u.
**DFT total energy**: -6.53 eV/atom

---

Density functional theory data (PBE) for a geometry-optimized LaTc2As structure.

a b c (Å): 4.468 4.468 5.829
angles (deg): 111.68 111.68 58.77
Positions (direct):
La  0.000  0.000  0.000
Tc  0.187  0.187  0.545
Tc  0.813  0.813  0.455
As  0.500  0.500  0.500

Results
**ΔH_f (0 K)**: -0.6 eV/f.u.
**Crystal system**: monoclinic
**M_tot**: 0.00 μB/f.u.
**DFT total energy**: -7.72 eV/atom

---

Density functional theory data (PBE) for a geometry-optimized La2TcAs structure.

a b c (Å): 8.158 8.158 8.158
angles (deg): 28.68 28.68 28.68
Positions (direct):
La  0.248  0.248  0.248
La  0.752  0.752  0.752
Tc  0.000  0.000  0.000
As  0.500  0.500  0.500

Results
**ΔH_f (0 K)**: -0.9 eV/f.u.
**Crystal system**: trigonal
**M_tot**: 1.07 μB/f.u.
**DFT total energy**: -6.44 eV/atom

---

Density functional theory data (PBE) for a geometry-optimized LaTc2As structure.

a b c (Å): 5.691 5.691 5.691
angles (deg): 146.83 132.26 59.37
Positions (direct):
La  0.000  0.000  0.000
Tc  0.273  0.773  0.500
Tc  0.511  0.511  0.000
As  0.724  0.224  0.500

Results
**ΔH_f (0 K)**: 0.7 eV/f.u.
**Crystal system**: orthorhombic
**M_tot**: 0.00 μB/f.u.
**DFT total energy**: -7.41 eV/atom